DFT (PBE+U) results for a relaxed structure of Li2Cr2O7.

Calculated values
The calculation puts the energy above the lowest structure with this stoichiometry at 0.286 eV per atom. The value obtained for the calculated total energy is -6.06 eV/atom.

CIF file:
```
data_Li2Cr2O7
_space_group_name_H-M_alt 'P -1'
_space_group_IT_number 2
_space_group_name_Hall '-P 1'
_cell_length_a 5.6130
_cell_length_b 6.2525
_cell_length_c 7.2851
_cell_angle_alpha 72.91
_cell_angle_beta 74.63
_cell_angle_gamma 86.79
loop_
_atom_site_label
_atom_site_type_symbol
_atom_site_fract_x
_atom_site_fract_y
_atom_site_fract_z
Li1 Li 0.0839 0.2004 0.4372
Li2 Li 0.3848 0.6925 0.3667
Cr1 Cr 0.1854 0.3268 0.9755
Cr2 Cr 0.4172 0.8990 0.7278
O1 O 0.0611 0.3861 0.7042
O2 O 0.0815 0.7953 0.2736
O3 O 0.1538 0.6609 0.8995
O4 O 0.2726 0.4043 0.5445
O5 O 0.3026 0.9194 0.5064
O6 O 0.3444 0.2848 0.1835
O7 O 0.3636 0.1096 0.8594
```